[1]
Material: Sb2AsP
Method: DFT, meta-GGA SCAN
State: single point on PBEsol structure

Properties
- Raw total energy: -25.78 eV/atom
- Fermi-level density of states: 0.59 states/eV/atom
- Excess energy over the best structure of this formula in the dataset: 424 meV per atom
- Uncorrected formation energy: 496 meV/atom

Cell lengths 3.164, 3.164, 9.361 Å; angles 90.00, 90.00, 112.71 degrees
Fractional coordinates of all 4 atoms:
Sb 0.000 0.000 0.000
Sb 0.500 0.500 0.290
As 0.500 0.500 0.721
P 0.000 0.000 0.539

---

[2]
Material: SbAs2P
Method: DFT, meta-GGA SCAN
State: single point on PBEsol structure

Properties
- Raw total energy: -21.40 eV/atom
- Fermi-level density of states: 0.49 states/eV/atom
- Excess energy over the best structure of this formula in the dataset: 532 meV per atom
- Uncorrected formation energy: 613 meV/atom

Cell lengths 4.698, 4.698, 3.486 Å; angles 90.00, 90.00, 90.00 degrees
Fractional coordinates of all 4 atoms:
Sb 0.000 0.000 0.000
As 0.000 0.500 0.500
As 0.500 0.000 0.500
P 0.500 0.500 0.000